Crystalline CaAcHo2 at its relaxed geometry. Source: Alexandria via LeMat-Bulk, functional PBE.

Cell: 3.656 3.656 13.019 Å, 81.93 81.93 60.00°
Fractional positions:
Ac 0.500 0.500 0.500
Ho 0.089 0.089 0.733
Ho 0.911 0.911 0.267
Ca 0.000 0.000 0.000

- V: 148.7 Å³ per cell
- E: -3.592 eV/atom